Here is crystalline BaHf2Mn2O7 at its relaxed geometry from Alexandria. Energies are from GGA+U.

Summary:
Electronic total energy, eV per cell: -104.9
N(E_F), states/eV per atom: 0.000
Density, g/cm3: 7.3
SG: I4/mmm (139)
M_tot, μB/atom: 0.83

Cell lengths 4.2476, 4.2465, 9.5371 Å; angles 102.86, 102.87, 90.00 degrees
Closest atoms and distances in Å follow each position.
Sites, in units of the cell vectors:
Hf (0.3865, 0.3865, 0.7731)  6 O 2.05-2.12
Hf (0.6134, 0.6134, 0.2269)  6 O 2.05-2.12
Ba (0.9999, 0.9999, 0.0000)  12 O 2.99-3.00
O (0.7304, 0.7304, 0.4608)  1 Hf 2.12, 4 Mn 2.15
O (0.2696, 0.2696, 0.5392)  1 Hf 2.12, 4 Mn 2.15
O (0.3839, 0.8839, 0.7679)  2 Hf 2.12
O (0.6161, 0.1161, 0.2321)  2 Hf 2.12
O (0.5000, 0.5000, 0.0000)  2 Hf 2.05
O (0.1161, 0.6161, 0.2322)  2 Hf 2.12
O (0.8839, 0.3838, 0.7678)  2 Hf 2.12
Mn (0.7501, 0.2502, 0.5002)  4 O 2.15
Mn (0.2499, 0.7499, 0.4998)  4 O 2.15